[1]
# Ta3SiNi2

A geometry-optimized Ta3SiNi2 structure (PBE-GGA, OQMD).

Cell: 7.891 7.891 7.891 Å, 120.00 90.00 120.00°
Fractional coordinates of all 24 atoms:
Ta  0.201  0.000  0.201
Si  0.375  0.750  0.625
Si  0.375  0.750  0.125
Ta  0.549  0.097  0.049
Ta  0.799  0.000  0.799
Ni  0.583  0.834  0.417
Ni  0.167  0.334  0.833
Ta  0.951  0.500  0.049
Ni  0.167  0.334  0.501
Ta  0.799  0.000  0.201
Si  0.375  0.250  0.625
Ni  0.251  0.834  0.417
Ta  0.201  0.403  0.201
Ta  0.951  0.903  0.451
Ni  0.167  0.666  0.833
Ta  0.549  0.500  0.451
Ta  0.549  0.500  0.049
Ni  0.499  0.666  0.833
Ta  0.951  0.500  0.451
Ta  0.201  0.000  0.799
Ta  0.799  0.597  0.799
Si  0.875  0.250  0.625
Ni  0.583  0.166  0.417
Ni  0.583  0.166  0.749

Computed properties:
Energy in eV per atom: -9.09
Magnetization in Bohr magnetons per cell: 0.00

=====

[2]
# Cd4Cl6O

A geometry-optimized Cd4Cl6O structure (PBE-GGA, OQMD).

Cell: 9.029 9.029 6.505 Å, 90.00 90.00 120.00°
Fractional coordinates of all 22 atoms:
Cl  0.080  0.540  0.226
Cl  0.540  0.080  0.726
Cd  0.196  0.391  0.513
Cd  0.804  0.196  0.013
O  0.667  0.333  0.131
Cd  0.804  0.609  0.013
Cd  0.196  0.804  0.513
Cl  0.131  0.261  0.888
O  0.333  0.667  0.631
Cd  0.391  0.196  0.013
Cl  0.131  0.869  0.888
Cd  0.667  0.333  0.460
Cl  0.869  0.131  0.388
Cl  0.920  0.460  0.726
Cl  0.261  0.131  0.388
Cl  0.869  0.739  0.388
Cd  0.609  0.804  0.513
Cl  0.460  0.920  0.226
Cl  0.540  0.460  0.726
Cd  0.333  0.667  0.960
Cl  0.739  0.869  0.888
Cl  0.460  0.540  0.226

Computed properties:
Energy in eV per atom: -2.77

=====

[3]
# Nd2SnSe3

A geometry-optimized Nd2SnSe3 structure (PBE-GGA, OQMD).

Cell: 4.252 4.252 10.555 Å, 90.00 90.00 120.00°
Fractional coordinates of all 6 atoms:
Nd  0.333  0.667  0.652
Se  0.333  0.667  0.169
Nd  0.667  0.333  0.348
Se  0.667  0.333  0.831
Se  0.000  0.000  0.500
Sn  0.000  0.000  0.000

Computed properties:
Energy in eV per atom: -5.32
Magnetization in Bohr magnetons per cell: 0.00

=====

[4]
# Pr2NdCd3CuPt2

A geometry-optimized Pr2NdCd3CuPt2 structure (PBE-GGA, OQMD).

Cell: 3.993 7.744 7.744 Å, 119.99 90.00 90.00°
Fractional coordinates of all 9 atoms:
Cd  0.500  0.243  0.001
Nd  0.000  0.413  0.413
Pr  0.000  0.000  0.587
Cu  0.000  0.001  0.001
Pt  0.500  0.334  0.665
Pr  0.000  0.587  0.000
Pt  0.500  0.665  0.334
Cd  0.500  0.756  0.756
Cd  0.500  0.001  0.243

Computed properties:
Magnetization in Bohr magnetons per cell: 0.00
Formation energy from the elements in eV per atom: -0.695

=====

[5]
# Zr2Ag

A geometry-optimized Zr2Ag structure (PBE-GGA, OQMD).

Cell: 15.871 3.138 5.091 Å, 90.00 90.00 90.00°
Fractional coordinates of all 12 atoms:
Zr  0.499  0.000  0.500
Zr  0.117  0.500  0.000
Ag  0.168  0.000  0.500
Ag  0.667  0.500  0.500
Zr  0.617  0.000  0.000
Ag  0.277  0.000  0.000
Zr  0.945  0.000  0.000
Zr  0.000  0.500  0.500
Zr  0.445  0.500  0.000
Zr  0.827  0.000  0.500
Ag  0.777  0.500  0.000
Zr  0.327  0.500  0.500

Computed properties:
Magnetization in Bohr magnetons per cell: 0.00
Formation energy from the elements in eV per atom: -0.046

=====

[6]
# Y4Mg3Ni2

A geometry-optimized Y4Mg3Ni2 structure (PBE-GGA, OQMD).

Cell: 7.476 3.679 8.245 Å, 90.00 108.16 90.00°
Fractional coordinates of all 9 atoms:
Mg  0.000  0.000  0.000
Y  0.909  0.500  0.276
Ni  0.654  0.000  0.110
Ni  0.346  0.000  0.890
Mg  0.291  0.000  0.501
Mg  0.709  0.000  0.499
Y  0.091  0.500  0.724
Y  0.394  0.500  0.179
Y  0.606  0.500  0.821

Computed properties:
Energy in eV per atom: -4.89
Magnetization in Bohr magnetons per cell: 0.02

=====

[7]
# TbHoSi2Ir4

A geometry-optimized TbHoSi2Ir4 structure (PBE-GGA, OQMD).

Cell: 7.027 5.415 5.415 Å, 41.26 90.00 90.00°
Fractional coordinates of all 8 atoms:
Si  0.500  0.723  0.723
Ir  0.200  0.855  0.855
Ho  0.000  0.557  0.557
Tb  0.500  0.442  0.442
Ir  0.298  0.146  0.146
Si  0.000  0.277  0.277
Ir  0.702  0.146  0.146
Ir  0.800  0.855  0.855

Computed properties:
Energy in eV per atom: -7.76
Magnetization in Bohr magnetons per cell: 0.01

=====

[8]
# Pu2MgPt2

A geometry-optimized Pu2MgPt2 structure (PBE-GGA, OQMD).

Cell: 7.579 7.579 3.928 Å, 90.00 90.00 90.00°
Site moments in Bohr magnetons follow the coordinates.
Fractional coordinates of all 10 atoms:
Mg  0.500  0.500  0.000  0.01
Pu  0.660  0.840  0.500  5.21
Pt  0.857  0.643  0.000  -0.09
Pu  0.840  0.340  0.500  5.25
Pu  0.340  0.160  0.500  5.21
Pt  0.357  0.857  0.000  -0.08
Pt  0.643  0.143  0.000  -0.08
Mg  0.000  0.000  0.000  0.01
Pt  0.143  0.357  0.000  -0.09
Pu  0.160  0.660  0.500  5.25

Computed properties:
Energy in eV per atom: -9.17
Magnetization in Bohr magnetons per cell: 21.95

=====

[9]
# CsScTcSe3

A geometry-optimized CsScTcSe3 structure (PBE-GGA, OQMD).

Cell: 8.360 8.360 10.087 Å, 90.00 90.00 152.65°
Fractional coordinates of all 12 atoms:
Se  0.433  0.567  0.250
Sc  0.500  0.500  0.500
Se  0.889  0.111  0.555
Cs  0.751  0.249  0.250
Cs  0.249  0.751  0.750
Se  0.889  0.111  0.945
Tc  0.980  0.020  0.750
Se  0.111  0.889  0.055
Se  0.567  0.433  0.750
Sc  0.500  0.500  0.000
Se  0.111  0.889  0.445
Tc  0.020  0.980  0.250

Computed properties:
Magnetization in Bohr magnetons per cell: 0.01
Relative energy among the computed polymorphs in meV/atom: 0

=====

[10]
# CsTm2

A geometry-optimized CsTm2 structure (PBE-GGA, OQMD).

Cell: 7.245 7.245 7.245 Å, 60.00 60.00 60.00°
Site moments in Bohr magnetons follow the coordinates.
Fractional coordinates of all 6 atoms:
Tm  0.125  0.625  0.625  0.34
Tm  0.625  0.125  0.625  0.34
Tm  0.625  0.625  0.125  0.32
Tm  0.625  0.625  0.625  0.32
Cs  0.000  0.000  0.000  0.02
Cs  0.250  0.250  0.250  0.02

Computed properties:
Energy in eV per atom: -2.53
Magnetization in Bohr magnetons per cell: 2.03

=====

[11]
# PaCo

A geometry-optimized PaCo structure (PBE-GGA, OQMD).

Cell: 4.147 3.239 5.137 Å, 90.00 90.00 90.00°
Fractional coordinates of all 4 atoms:
Co  0.250  0.000  0.171
Pa  0.250  0.500  0.705
Pa  0.750  0.500  0.295
Co  0.750  0.000  0.829

Computed properties:
Magnetization in Bohr magnetons per cell: 0.00
Formation energy from the elements in eV per atom: -0.363

=====

[12]
# K2LiMoH6

A geometry-optimized K2LiMoH6 structure (PBE-GGA, OQMD).

Cell: 5.635 5.635 5.603 Å, 119.80 119.80 59.64°
Site moments in Bohr magnetons follow the coordinates.
Fractional coordinates of all 10 atoms:
H  0.263  0.736  0.737  -0.01
H  0.736  0.263  0.737  -0.01
Li  0.000  0.000  0.000  -0.01
H  0.266  0.266  0.267  -0.01
H  0.737  0.264  0.263  -0.01
K  0.751  0.751  0.249  0.02
K  0.249  0.249  0.751  0.02
H  0.264  0.737  0.263  -0.01
Mo  0.500  0.500  0.500  2.51
H  0.734  0.734  0.733  -0.01

Computed properties:
Energy in eV per atom: -3.59
Magnetization in Bohr magnetons per cell: 3.00